# Pu3S4 | OQMD via LeMat-Bulk | PBE | relaxed
# Crystal system: cubic
# ρ: 9.9 g/cm3
# Total DFT energy (no corrections): -10.28 eV/atom
# Symmetry: I-43d, No. 220
data_Pu3S4
_space_group_name_H-M_alt 'P 1'
_space_group_IT_number 1
_space_group_name_Hall 'P 1'
_cell_length_a 7.221
_cell_length_b 7.221
_cell_length_c 7.221
_cell_angle_alpha 109.47
_cell_angle_beta 109.47
_cell_angle_gamma 109.47
loop_
_atom_site_label
_atom_site_fract_x
_atom_site_fract_y
_atom_site_fract_z
Pu1 0.125 0.750 0.875
Pu2 0.250 0.625 0.375
Pu3 0.375 0.250 0.625
Pu4 0.625 0.375 0.250
Pu5 0.750 0.875 0.125
Pu6 0.875 0.125 0.750
S1 0.000 0.353 0.500
S2 0.000 0.853 0.500
S3 0.147 0.147 0.147
S4 0.353 0.500 0.000
S5 0.500 0.000 0.353
S6 0.500 0.000 0.853
S7 0.647 0.647 0.647
S8 0.853 0.500 0.000